Entry i
VASP calculation (GGA-PBE) on a relaxed Mg8CuSe4 crystal.

Cell: 7.285 7.285 7.285 Å, 105.38 105.38 118.00°
Sites, in units of the cell vectors:
Mg 0.000 0.232 0.232
Mg 0.000 0.768 0.768
Mg 0.205 0.500 0.705
Mg 0.232 0.000 0.232
Mg 0.500 0.205 0.705
Mg 0.500 0.795 0.295
Mg 0.768 0.000 0.768
Mg 0.795 0.500 0.295
Cu 0.500 0.500 0.000
Se 0.000 0.000 0.500
Se 0.000 0.500 0.000
Se 0.500 0.000 0.000
Se 0.500 0.500 0.500

Results
The space group is I4/mmm, No. 139.


Entry ii
VASP calculation (GGA-PBE) on a relaxed Mg8CuSe4 crystal.

Cell: 9.505 9.505 9.505 Å, 92.41 92.41 156.35°
Sites, in units of the cell vectors:
Mg 0.063 0.385 0.448
Mg 0.316 0.681 0.997
Mg 0.319 0.316 0.636
Mg 0.385 0.937 0.323
Mg 0.615 0.063 0.677
Mg 0.681 0.684 0.364
Mg 0.684 0.319 0.003
Mg 0.937 0.615 0.552
Cu 0.000 0.000 0.000
Se 0.234 0.497 0.731
Se 0.497 0.766 0.263
Se 0.503 0.234 0.737
Se 0.766 0.503 0.269

Results
The space group is I4/m, No. 87.


The energy of each structure relative to the most stable one, in eV/atom, is as follows: entry i 0.000; entry ii 0.046.


Entry i
VASP calculation (GGA-PBE) on a relaxed MgCu3Si crystal.

Cell: 6.250 6.250 6.250 Å, 108.99 91.45 130.50°
Sites, in units of the cell vectors:
Mg 0.361 0.111 0.250
Mg 0.639 0.889 0.750
Cu 0.132 0.382 0.750
Cu 0.182 0.000 0.682
Cu 0.182 0.500 0.182
Cu 0.818 0.000 0.318
Cu 0.818 0.500 0.818
Cu 0.868 0.618 0.250
Si 0.000 0.500 0.500
Si 0.500 0.500 0.000

Results
The space group is Imma, No. 74.


Entry ii
VASP calculation (GGA-PBE) on a relaxed MgCu3Si crystal.

Cell: 4.522 4.522 4.522 Å, 90.00 90.00 90.00°
Sites, in units of the cell vectors:
Mg 0.000 0.000 0.000
Cu 0.000 0.000 0.500
Cu 0.000 0.500 0.000
Cu 0.500 0.000 0.000
Si 0.500 0.500 0.500

Results
The space group is Pm-3m, No. 221.


Entry iii
VASP calculation (GGA-PBE) on a relaxed MgCu3Si crystal.

Cell: 4.399 4.399 4.399 Å, 90.00 90.00 90.00°
Sites, in units of the cell vectors:
Mg 0.000 0.000 0.000
Cu 0.000 0.500 0.500
Cu 0.500 0.000 0.500
Cu 0.500 0.500 0.000
Si 0.500 0.500 0.500

Results
The space group is Pm-3m, No. 221.


The energy of each structure relative to the most stable one, in eV/atom, is as follows: entry i 0.000; entry ii 1.062; entry iii 0.163.


Entry i
VASP calculation (GGA-PBE) on a relaxed Mg3CuSi crystal.

Cell: 4.800 4.800 4.800 Å, 90.00 90.00 90.00°
Sites, in units of the cell vectors:
Mg 0.000 0.000 0.500
Mg 0.000 0.500 0.000
Mg 0.500 0.000 0.000
Cu 0.000 0.000 0.000
Si 0.500 0.500 0.500

Results
The space group is Pm-3m, No. 221.


Entry ii
VASP calculation (GGA-PBE) on a relaxed Mg3CuSi crystal.

Cell: 4.964 4.964 4.964 Å, 90.00 90.00 90.00°
Sites, in units of the cell vectors:
Mg 0.000 0.000 0.500
Mg 0.000 0.500 0.000
Mg 0.500 0.000 0.000
Cu 0.500 0.500 0.500
Si 0.000 0.000 0.000

Results
The space group is Pm-3m, No. 221.


The energy of each structure relative to the most stable one, in eV/atom, is as follows: entry i 0.000; entry ii 0.030.


Entry i
VASP calculation (GGA-PBE) on a relaxed Sm2MgCu crystal.

Cell: 3.420 3.420 33.168 Å, 90.00 90.00 120.00°
Sites, in units of the cell vectors:
Sm 0.000 0.000 0.101
Sm 0.000 0.000 0.899
Sm 0.333 0.667 0.565
Sm 0.333 0.667 0.768
Sm 0.667 0.333 0.232
Sm 0.667 0.333 0.435
Mg 0.000 0.000 0.000
Mg 0.333 0.667 0.667
Mg 0.667 0.333 0.333
Cu 0.000 0.000 0.500
Cu 0.333 0.667 0.167
Cu 0.667 0.333 0.833

Results
The space group is R-3m, No. 166.


Entry ii
VASP calculation (GGA-PBE) on a relaxed Sm2MgCu crystal.

Cell: 7.398 7.398 7.398 Å, 90.00 90.00 90.00°
Sites, in units of the cell vectors:
Sm 0.250 0.250 0.250
Sm 0.250 0.250 0.750
Sm 0.250 0.750 0.250
Sm 0.250 0.750 0.750
Sm 0.750 0.250 0.250
Sm 0.750 0.250 0.750
Sm 0.750 0.750 0.250
Sm 0.750 0.750 0.750
Mg 0.000 0.000 0.000
Mg 0.000 0.500 0.500
Mg 0.500 0.000 0.500
Mg 0.500 0.500 0.000
Cu 0.000 0.000 0.500
Cu 0.000 0.500 0.000
Cu 0.500 0.000 0.000
Cu 0.500 0.500 0.500

Results
The space group is Fm-3m, No. 225.


The energy of each structure relative to the most stable one, in eV/atom, is as follows: entry i 0.290; entry ii 0.000.


Entry i
VASP calculation (GGA-PBE) on a relaxed Mg2CuSn2 crystal.

Cell: 7.025 7.025 4.557 Å, 90.00 90.00 90.00°
Sites, in units of the cell vectors:
Mg 0.153 0.347 0.000
Mg 0.347 0.847 0.000
Mg 0.653 0.153 0.000
Mg 0.847 0.653 0.000
Cu 0.000 0.000 0.000
Cu 0.500 0.500 0.000
Sn 0.160 0.660 0.500
Sn 0.340 0.160 0.500
Sn 0.660 0.840 0.500
Sn 0.840 0.340 0.500

Results
The space group is P4/mbm, No. 127.


Entry ii
VASP calculation (GGA-PBE) on a relaxed Mg2CuSn2 crystal.

Cell: 7.037 7.037 4.586 Å, 90.00 90.00 90.00°
Sites, in units of the cell vectors:
Mg 0.163 0.337 0.000
Mg 0.337 0.837 0.000
Mg 0.663 0.163 0.000
Mg 0.837 0.663 0.000
Cu 0.000 0.000 0.500
Cu 0.500 0.500 0.500
Sn 0.151 0.651 0.500
Sn 0.349 0.151 0.500
Sn 0.651 0.849 0.500
Sn 0.849 0.349 0.500

Results
The space group is P4/mbm, No. 127.


The energy of each structure relative to the most stable one, in eV/atom, is as follows: entry i 0.090; entry ii 0.000.


Entry i
VASP calculation (GGA-PBE) on a relaxed SrMg4Cu crystal.

Cell: 8.802 4.394 7.717 Å, 90.00 90.00 90.00°
Sites, in units of the cell vectors:
Sr 0.250 0.000 0.095
Sr 0.750 0.000 0.905
Mg 0.000 0.000 0.500
Mg 0.065 0.500 0.790
Mg 0.250 0.500 0.455
Mg 0.435 0.500 0.790
Mg 0.500 0.000 0.500
Mg 0.565 0.500 0.210
Mg 0.750 0.500 0.545
Mg 0.935 0.500 0.210
Cu 0.250 0.000 0.687
Cu 0.750 0.000 0.313

Results
The space group is Pmma, No. 51.


Entry ii
VASP calculation (GGA-PBE) on a relaxed SrMg4Cu crystal.

Cell: 5.990 5.990 5.990 Å, 60.00 60.00 60.00°
Sites, in units of the cell vectors:
Sr 0.000 0.000 0.000
Mg 0.376 0.376 0.376
Mg 0.376 0.376 0.872
Mg 0.376 0.872 0.376
Mg 0.872 0.376 0.376
Cu 0.750 0.750 0.750

Results
The space group is F-43m, No. 216.


The energy of each structure relative to the most stable one, in eV/atom, is as follows: entry i 0.000; entry ii 0.271.


Entry i
VASP calculation (GGA-PBE) on a relaxed Sr2Mg2Cu crystal.

Cell: 7.076 7.076 7.518 Å, 104.97 104.97 58.59°
Sites, in units of the cell vectors:
Sr 0.068 0.239 0.135
Sr 0.239 0.068 0.635
Sr 0.761 0.932 0.365
Sr 0.932 0.761 0.865
Mg 0.304 0.500 0.534
Mg 0.500 0.304 0.034
Mg 0.500 0.696 0.966
Mg 0.696 0.500 0.466
Cu 0.288 0.712 0.250
Cu 0.712 0.288 0.750

Results
The space group is C2/c, No. 15.


Entry ii
VASP calculation (GGA-PBE) on a relaxed Sr2Mg2Cu crystal.

Cell: 7.492 7.492 5.568 Å, 90.00 90.00 90.00°
Sites, in units of the cell vectors:
Sr 0.177 0.323 0.000
Sr 0.323 0.823 0.000
Sr 0.677 0.177 0.000
Sr 0.823 0.677 0.000
Mg 0.144 0.644 0.500
Mg 0.356 0.144 0.500
Mg 0.644 0.856 0.500
Mg 0.856 0.356 0.500
Cu 0.000 0.000 0.500
Cu 0.500 0.500 0.500

Results
The space group is P4/mbm, No. 127.


The energy of each structure relative to the most stable one, in eV/atom, is as follows: entry i 0.000; entry ii 0.152.


Entry i
VASP calculation (GGA-PBE) on a relaxed MgTa2Cu2 crystal.

Cell: 3.895 3.895 11.743 Å, 90.00 90.00 90.00°
Sites, in units of the cell vectors:
Mg 0.000 0.000 0.000
Mg 0.500 0.500 0.500
Ta 0.000 0.500 0.250
Ta 0.000 0.500 0.750
Ta 0.500 0.000 0.250
Ta 0.500 0.000 0.750
Cu 0.000 0.000 0.404
Cu 0.000 0.000 0.596
Cu 0.500 0.500 0.096
Cu 0.500 0.500 0.904

Results
The space group is I4/mmm, No. 139.


Entry ii
VASP calculation (GGA-PBE) on a relaxed MgTa2Cu2 crystal.

Cell: 7.266 7.266 3.060 Å, 90.00 90.00 90.00°
Sites, in units of the cell vectors:
Mg 0.000 0.000 0.000
Mg 0.500 0.500 0.000
Ta 0.171 0.329 0.500
Ta 0.329 0.829 0.500
Ta 0.671 0.171 0.500
Ta 0.829 0.671 0.500
Cu 0.123 0.623 0.000
Cu 0.377 0.123 0.000
Cu 0.623 0.877 0.000
Cu 0.877 0.377 0.000

Results
The space group is P4/mbm, No. 127.


The energy of each structure relative to the most stable one, in eV/atom, is as follows: entry i 0.116; entry ii 0.000.